SrLaNdCd | GGA-PBE | relaxed

a b c (Å): 8.1863 8.1863 8.1863
angles (deg): 90.00 90.00 90.00
Closest atoms and distances in Å follow each position.
Space group F-43m (No. 216)
Symmetry-distinct sites (fractional):
Sr1 0.0000 0.0000 0.0000 (multiplicity 4)  4 Nd 3.54, 4 La 3.54
La1 0.2500 0.2500 0.2500 (multiplicity 4)  4 Sr 3.54, 4 Cd 3.54
Nd1 0.2500 0.2500 0.7500 (multiplicity 4)  4 Cd 3.54, 4 Sr 3.54
Cd1 0.0000 0.0000 0.5000 (multiplicity 4)  4 La 3.54, 4 Nd 3.54

Output
ΔH_f (0 K) ... 0.036 eV per atom
Total magnetic moment ... 0.000 μB per cell
Crystal system ... cubic